Computed, not measured: In3SiN after structural relaxation at the PBE-GGA level of DFT.

Calculated values
Fermi-level density of states ... 0.94 states/eV per cell
E_form (uncorrected) ... 0.617 eV per atom
M_tot ... 0.00 μB per formula unit
Electronic total energy ... -3.78 eV/atom
Relative energy among the computed polymorphs ... 0.0000 eV per atom

a b c (Å): 4.6925 4.6925 4.6925
angles (deg): 90.00 90.00 90.00
Atoms (fractional coordinates):
Si: 0.5000 0.5000 0.5000
N: 0.0000 0.0000 0.0000
In: 0.0000 0.5000 0.0000
In: 0.0000 0.0000 0.5000
In: 0.5000 0.0000 0.0000